# 1
Computed, not measured: a relaxed structure of NiSn2PAu at the GGA-PBE level of DFT.

Calculated formation energy (meV/atom): 282
Space group: No. 123

```
NiSn2PAu
1.0
-4.307 2.994 -0.789
-2.508 -4.166 -2.119
-1.400 -1.039 3.700
Ni Au Sn P
1 1 2 1
direct
0.000 0.000 0.500
0.500 0.500 0.500
0.000 0.500 0.000
0.500 0.000 0.000
0.000 0.000 0.000
```



# 2
Computed, not measured: a relaxed structure of Cu2AsPt at the GGA-PBE level of DFT.

Calculated formation energy (meV/atom): 29
Space group: No. 123

```
Cu2AsPt
1.0
-1.985 0.287 -1.994
-1.934 -1.054 1.774
-1.455 6.738 2.418
As Cu Pt
1 2 1
direct
0.500 0.500 0.750
0.000 0.000 0.007
0.000 0.000 0.493
0.500 0.500 0.250
```



# 3
Computed, not measured: a relaxed structure of PrGdDyCd at the GGA-PBE level of DFT.

Calculated formation energy (meV/atom): -41
Space group: No. 216

```
PrGdDyCd
1.0
-3.029 -3.842 -2.592
2.461 -3.706 -3.296
0.331 -5.302 1.559
Pr Cd Gd Dy
1 1 1 1
direct
0.500 0.500 0.500
0.750 0.750 0.750
0.000 0.000 0.000
0.250 0.250 0.250
```



# 4
Computed, not measured: a relaxed structure of Sr2Tl6CdPd at the GGA-PBE level of DFT.

Calculated formation energy (meV/atom): -141
Space group: No. 166

```
Sr2Tl6CdPd
1.0
7.551 0.000 0.000
3.775 6.539 0.000
3.775 2.180 12.832
Sr Tl Cd Pd
4 12 2 2
direct
0.870 0.870 0.391
0.130 0.130 0.609
0.696 0.696 0.911
0.304 0.304 0.089
0.936 0.350 0.364
0.350 0.936 0.364
0.350 0.350 0.364
0.064 0.650 0.636
0.650 0.064 0.636
0.650 0.650 0.636
0.721 0.216 0.846
0.216 0.721 0.846
0.216 0.216 0.846
0.279 0.784 0.154
0.784 0.279 0.154
0.784 0.784 0.154
0.000 0.000 0.000
0.500 0.500 0.500
0.572 0.572 0.284
0.428 0.428 0.716
```



# 5
Computed, not measured: a relaxed structure of Tb5Pm3Tl at the GGA-PBE level of DFT.

Calculated formation energy (meV/atom): 182
Space group: No. 140

```
Tb5Pm3Tl
1.0
-5.461 -5.320 -5.253
6.323 0.184 -6.760
2.576 -3.144 8.664
Tb Pm Tl
10 6 2
direct
0.056 0.556 0.729
0.673 0.173 0.729
0.173 0.056 0.729
0.556 0.673 0.729
0.944 0.444 0.271
0.327 0.827 0.271
0.827 0.944 0.271
0.444 0.327 0.271
0.500 0.500 0.000
0.000 0.000 0.000
0.616 0.116 0.000
0.384 0.884 0.000
0.884 0.616 0.000
0.116 0.384 0.000
0.250 0.250 0.500
0.750 0.750 0.500
0.750 0.250 0.500
0.250 0.750 0.500
```



# 6
Computed, not measured: a relaxed structure of ZrReTe2 at the GGA-PBE level of DFT.

Formation energy from raw total energies (eV/atom): -0.22
Distance to the lowest polymorph of the same formula (meV/atom): 0
Space group: No. 25

```
ZrReTe2
1.0
4.214 0.000 0.000
0.000 3.797 -0.005
0.000 0.013 7.069
Re Te Zr
1 2 1
direct
0.500 0.875 0.631
0.000 0.875 0.912
0.500 0.375 0.342
0.000 0.375 0.615
```



# 7
Computed, not measured: a relaxed structure of CaTb2HoBi4 at the GGA-PBE level of DFT.

Calculated formation energy (meV/atom): -808
Space group: No. 10

```
CaTb2HoBi4
1.0
4.484 0.000 0.000
0.000 7.829 -0.174
0.000 2.737 7.354
Ca Tb Ho Bi
1 2 1 4
direct
0.000 0.500 0.500
0.000 0.000 0.000
0.500 0.000 0.500
0.500 0.500 0.000
0.000 0.750 0.753
0.000 0.250 0.247
0.500 0.754 0.244
0.500 0.246 0.756
```



# 8
Computed, not measured: a relaxed structure of PuU4Os2 at the GGA-PBE level of DFT.

Calculated formation energy (meV/atom): 36
Space group: No. 122

```
PuU4Os2
1.0
-4.903 -4.717 -2.239
0.490 -0.163 7.144
-6.418 1.642 2.725
Pu U Os
2 8 4
direct
0.500 0.250 0.250
0.000 0.000 0.000
0.769 0.003 0.344
0.731 0.484 0.363
0.153 0.247 0.484
0.347 0.344 0.887
0.269 0.906 0.247
0.847 0.363 0.906
0.653 0.766 0.003
0.231 0.887 0.766
0.176 0.551 0.125
0.676 0.125 0.699
0.824 0.699 0.625
0.324 0.625 0.551
```



# 9
Computed, not measured: a relaxed structure of AlHgW4 at the GGA-PBE level of DFT.

Calculated formation energy (meV/atom): 701
Space group: No. 216

```
AlHgW4
1.0
2.629 -4.609 -0.652
-2.690 -4.469 -1.170
0.417 -2.174 -4.866
Al Hg W
1 1 4
direct
0.750 0.750 0.750
0.000 0.000 0.000
0.876 0.375 0.375
0.375 0.375 0.876
0.375 0.876 0.375
0.375 0.375 0.375
```



# 10
Computed, not measured: a relaxed structure of Fe2Pd5Pt2 at the GGA-PBE level of DFT.

Distance to the lowest polymorph of the same formula (meV/atom): 75
Calculated formation energy (meV/atom): -47
Space group: No. 12

```
Fe2Pd5Pt2
1.0
4.546 0.000 0.000
-2.273 6.863 -0.545
0.000 -1.913 4.482
Fe Pd Pt
2 5 2
direct
0.444 0.887 0.637
0.556 0.113 0.363
0.352 0.704 0.994
0.648 0.296 0.006
0.234 0.468 0.324
0.766 0.532 0.676
0.000 0.000 0.000
0.115 0.231 0.649
0.885 0.769 0.351
```



# 11
Computed, not measured: a relaxed structure of Ba7Na3Pt2 at the GGA-PBE level of DFT.

Calculated formation energy (meV/atom): -330
Space group: No. 65

```
Ba7Na3Pt2
1.0
6.287 0.000 0.000
0.000 6.169 -1.347
0.000 0.218 15.802
Ba Na Pt
7 3 2
direct
0.000 0.396 0.792
0.000 0.798 0.596
0.000 0.000 0.000
0.000 0.604 0.208
0.500 0.101 0.203
0.500 0.899 0.797
0.000 0.202 0.404
0.500 0.500 0.000
0.500 0.703 0.407
0.500 0.297 0.593
0.000 0.897 0.795
0.000 0.103 0.205
```



# 12
Computed, not measured: a relaxed structure of SbOsF2 at the GGA-PBE level of DFT.

Formation energy from raw total energies (eV/atom): -0.17
Distance to the lowest polymorph of the same formula (meV/atom): 388
Space group: No. 166

```
SbOsF2
1.0
4.327 -2.539 7.692
4.913 -4.894 6.022
6.624 -2.502 5.848
Sb Os F
1 1 2
direct
0.000 0.000 0.000
0.500 0.500 0.500
0.924 0.924 0.924
0.076 0.076 0.076
```



Results for density of states at the Fermi level: 0.430; 0.409; 1.361; 0.552; 1.308; 0.269; 0.396; 1.782; 1.010; 0.872; 0.697; 0.578 (in states/eV/atom, following the order of the records).